Entry 1:
The following is a DFT calculation (PBE-GGA) of a relaxed structure of CeGe5.

a = 3.7593 Å, b = 4.7512 Å, c = 7.1660 Å
α = 109.36°, β = 90.00°, γ = 90.00°
With the nearest neighbours (Å) after each atom.
Fractional coordinates of all 6 atoms:
Ce 0.0000 0.0000 0.0000  12 Ge 3.03-3.20
Ge 0.5000 0.1879 0.3757  8 Ge 2.81-3.06
Ge 0.0000 0.6580 0.3161  8 Ge 2.81-3.06
Ge 0.5000 0.8121 0.6243  8 Ge 2.81-3.06
Ge 0.0000 0.3420 0.6839  8 Ge 2.81-3.06
Ge 0.5000 0.5000 0.0000  4 Ge 2.85, 4 Ce 3.03

Output
Raw total energy (eV/atom): -4.982
Symmetry: Cmmm, No. 65
ΔH_f (0 K) (eV per atom): -0.145
Total moment (μB/f.u.): 0.00
Energy above the lowest structure with this stoichiometry (eV/atom): 0.153


Entry 2:
The following is a DFT calculation (PBE-GGA) of a relaxed structure of CoW2Cl.

a = 8.6044 Å, b = 8.6044 Å, c = 8.6044 Å
α = 18.93°, β = 18.93°, γ = 18.93°
With the nearest neighbours (Å) after each atom.
Fractional coordinates of all 4 atoms:
W 0.0022 0.0022 0.0022  3 Co 2.63, 3 Cl 2.72, 6 W 2.83
Cl 0.2500 0.2500 0.2500  6 W 2.72, 6 Cl 2.83
W 0.4978 0.4978 0.4978  3 Co 2.63, 3 Cl 2.72, 6 W 2.83
Co 0.7500 0.7500 0.7500  6 W 2.63, 6 Co 2.83

Output
Raw total energy (eV/atom): -8.190
Symmetry: R-3m, No. 166
Formation energy without anion corrections (eV per atom): 0.524
Total moment (μB/f.u.): 0.66
Energy above the lowest structure with this stoichiometry (eV/atom): 0.149


Entry 3:
The following is a DFT calculation (PBE-GGA) of a relaxed structure of MnPbSeN2.

a = 4.2583 Å, b = 4.2583 Å, c = 5.9011 Å
α = 90.00°, β = 90.00°, γ = 90.00°
With the nearest neighbours (Å) after each atom.
Fractional coordinates of all 5 atoms:
N 0.0000 0.5000 0.0000  2 Pb 2.13
Mn 0.5000 0.5000 0.5000  4 Se 3.01
Pb 0.0000 0.0000 0.0000  4 N 2.13
N 0.5000 0.0000 0.0000  2 Pb 2.13
Se 0.0000 0.0000 0.5000  2 Pb 2.95, 4 Mn 3.01

Output
Raw total energy (eV/atom): -4.978
Symmetry: P4/mmm, No. 123
Formation energy without anion corrections (eV per atom): 1.625
Total moment (μB/f.u.): 7.04
Energy above the lowest structure with this stoichiometry (eV/atom): 0.980


Entry 4:
The following is a DFT calculation (PBE-GGA) of a relaxed structure of Ac3Tl2In3Ir.

a = 4.8366 Å, b = 7.9595 Å, c = 7.9595 Å
α = 120.00°, β = 90.00°, γ = 90.00°
With the nearest neighbours (Å) after each atom.
Fractional coordinates of all 9 atoms:
Ac 0.0000 0.6123 0.6123  1 Ir 3.09, 4 Tl 3.45
In 0.5000 0.7745 0.0000  2 Ir 3.01, 2 In 3.11, 2 Tl 3.17
Tl 0.5000 0.6667 0.3333  3 In 3.17, 6 Ac 3.45
In 0.5000 0.2255 0.2255  2 Ir 3.01, 2 In 3.11, 2 Tl 3.17
Ir 0.0000 0.0000 0.0000  6 In 3.01, 3 Ac 3.09
Ac 0.0000 0.0000 0.3877  1 Ir 3.09, 4 Tl 3.45
Tl 0.5000 0.3333 0.6667  3 In 3.17, 6 Ac 3.45
In 0.5000 0.0000 0.7745  2 Ir 3.01, 2 In 3.11, 2 Tl 3.17
Ac 0.0000 0.3877 0.0000  1 Ir 3.09, 4 Tl 3.45

Output
Raw total energy (eV/atom): -4.249
Symmetry: P-62m, No. 189
ΔH_f (0 K) (eV per atom): -0.456
Total moment (μB/f.u.): 0.00


Entry 5:
The following is a DFT calculation (PBE-GGA) of a relaxed structure of Y2TlPb.

a = 3.7357 Å, b = 3.7357 Å, c = 8.6210 Å
α = 90.00°, β = 90.00°, γ = 89.83°
With the nearest neighbours (Å) after each atom.
Fractional coordinates of all 4 atoms:
Pb 0.0000 0.0000 0.5125  4 Tl 3.33-3.34, 4 Y 3.44
Y 0.5000 0.5000 0.2569  4 Pb 3.44, 8 Y 3.54-3.74
Tl 0.5000 0.5000 0.7483  4 Y 3.32-3.33, 4 Pb 3.33-3.34
Y 0.0000 0.0000 0.9822  4 Tl 3.32-3.33, 4 Y 3.54-3.55

Output
Raw total energy (eV/atom): -4.889
Symmetry: Cmm2, No. 35
ΔH_f (0 K) (eV per atom): -0.139
Total moment (μB/f.u.): 0.00


Entry 6:
The following is a DFT calculation (PBE-GGA) of a relaxed structure of SrInRu2.

a = 5.1911 Å, b = 5.1911 Å, c = 5.1911 Å
α = 129.70°, β = 129.70°, γ = 73.89°
With the nearest neighbours (Å) after each atom.
Fractional coordinates of all 4 atoms:
Ru 0.0000 0.0000 0.0000  4 Ru 3.03, 4 In 3.03, 4 Sr 3.12
Ru 0.2500 0.7500 0.5000  4 Sr 3.03, 4 Ru 3.03, 4 In 3.12
Sr 0.5000 0.5000 0.0000  4 In 3.03, 8 Ru 3.03-3.12
In 0.7500 0.2500 0.5000  4 Sr 3.03, 8 Ru 3.03-3.12

Output
Raw total energy (eV/atom): -5.158
Symmetry: I-4m2, No. 119
ΔH_f (0 K) (eV per atom): 0.585
Total moment (μB/f.u.): 2.58


Entry 7:
The following is a DFT calculation (PBE-GGA) of a relaxed structure of Ba2Al5In3.

a = 4.7258 Å, b = 4.7258 Å, c = 11.7769 Å
α = 90.00°, β = 90.00°, γ = 90.00°
With the nearest neighbours (Å) after each atom.
Fractional coordinates of all 10 atoms:
In 0.0000 0.5000 0.3548  3 Al 2.79-2.92, 2 In 2.92
Ba 0.5000 0.0000 0.2370  6 In 3.62-3.90, 10 Al 3.63-3.90
In 0.0000 0.0000 0.5000  4 In 2.92
Al 0.5000 0.0000 0.8825  4 Al 2.74, 1 In 2.79
Al 0.0000 0.5000 0.1175  4 Al 2.74, 1 In 2.79
In 0.5000 0.0000 0.6452  3 Al 2.79-2.92, 2 In 2.92
Ba 0.0000 0.5000 0.7630  6 In 3.62-3.90, 10 Al 3.63-3.90
Al 0.0000 0.0000 0.0000  4 Al 2.74
Al 0.5000 0.5000 0.5000  4 In 2.92
Al 0.5000 0.5000 0.0000  4 Al 2.74

Output
Raw total energy (eV/atom): -3.332
Symmetry: P-4m2, No. 115
ΔH_f (0 K) (eV per atom): -0.255
Total moment (μB/f.u.): 0.00


Entry 8:
The following is a DFT calculation (PBE-GGA) of a relaxed structure of YZnCl2.

a = 5.0015 Å, b = 5.0015 Å, c = 3.5668 Å
α = 90.00°, β = 90.00°, γ = 100.68°
With the nearest neighbours (Å) after each atom.
Fractional coordinates of all 4 atoms:
Cl 0.5000 0.5000 0.0000  4 Y 3.07, 4 Zn 3.07, 2 Cl 3.19
Zn 0.0000 0.5000 0.5000  8 Cl 3.07, 2 Y 3.19
Y 0.5000 0.0000 0.5000  8 Cl 3.07, 2 Zn 3.19
Cl 0.0000 0.0000 0.0000  4 Zn 3.07, 4 Y 3.07, 2 Cl 3.19

Output
Raw total energy (eV/atom): -3.721
Symmetry: Cmmm, No. 65
Formation energy without anion corrections (eV per atom): -0.864
Total moment (μB/f.u.): 0.00
Energy above the lowest structure with this stoichiometry (eV/atom): 0.351